No. 1
{
  "formula": "SrLi3Tl",
  "functional": "PBE-GGA",
  "state": "relaxed",
  "e_above_lowest_polymorph_mev_per_atom": 73,
  "space_group": "Pm-3m (221)",
  "formation_enthalpy_0k_ev_per_atom": -0.07,
  "lattice_angstrom": [[5.220, 0.000, 0.000], [0.000, 5.220, 0.000], [0.000, 0.000, 5.220]],
  "species": ["Sr", "Li", "Li", "Li", "Tl"],
  "frac_coords": [[0.000, 0.000, 0.000], [0.000, 0.500, 0.500], [0.500, 0.000, 0.500], [0.500, 0.500, 0.000], [0.500, 0.500, 0.500]]
}

No. 2
{
  "formula": "InAg2Pt2",
  "functional": "PBE-GGA",
  "state": "relaxed",
  "e_above_lowest_polymorph_mev_per_atom": 0,
  "space_group": "P4/mbm (127)",
  "formation_enthalpy_0k_ev_per_atom": -0.10,
  "lattice_angstrom": [[6.840, 0.000, 0.000], [0.000, 6.840, 0.000], [0.000, 0.000, 4.074]],
  "species": ["In", "In", "Ag", "Ag", "Ag", "Ag", "Pt", "Pt", "Pt", "Pt"],
  "frac_coords": [[0.000, 0.000, 0.000], [0.500, 0.500, 0.000], [0.162, 0.338, 0.500], [0.338, 0.838, 0.500], [0.662, 0.162, 0.500], [0.838, 0.662, 0.500], [0.136, 0.636, 0.000], [0.364, 0.136, 0.000], [0.636, 0.864, 0.000], [0.864, 0.364, 0.000]]
}

No. 3
{
  "formula": "CsCd2Ga2",
  "functional": "PBE-GGA",
  "state": "relaxed",
  "e_above_lowest_polymorph_mev_per_atom": 0,
  "space_group": "I4/mmm (139)",
  "formation_enthalpy_0k_ev_per_atom": -0.01,
  "lattice_angstrom": [[-2.582, 2.582, 5.419], [2.582, -2.582, 5.419], [2.582, 2.582, -5.419]],
  "species": ["Cs", "Cd", "Cd", "Ga", "Ga"],
  "frac_coords": [[0.000, 0.000, 0.000], [0.250, 0.750, 0.500], [0.750, 0.250, 0.500], [0.379, 0.379, 0.000], [0.621, 0.621, 0.000]]
}

No. 4
{
  "formula": "Co8NiPt2",
  "functional": "PBE-GGA",
  "state": "relaxed",
  "space_group": "C2/m (12)",
  "formation_enthalpy_0k_ev_per_atom": 0.11,
  "lattice_angstrom": [[7.219, -2.385, 0.000], [7.219, 2.385, 0.000], [-0.071, 0.000, 3.987]],
  "species": ["Co", "Co", "Co", "Co", "Co", "Co", "Co", "Co", "Ni", "Pt", "Pt"],
  "frac_coords": [[0.043, 0.043, 0.247], [0.118, 0.643, 0.262], [0.347, 0.347, 0.751], [0.357, 0.882, 0.738], [0.643, 0.118, 0.262], [0.653, 0.653, 0.249], [0.882, 0.357, 0.738], [0.957, 0.957, 0.753], [0.500, 0.500, 0.000], [0.221, 0.221, 0.237], [0.779, 0.779, 0.763]]
}

No. 5
{
  "formula": "CsCd2Pd2",
  "functional": "PBE-GGA",
  "state": "relaxed",
  "e_above_lowest_polymorph_mev_per_atom": 10,
  "space_group": "I4/mmm (139)",
  "formation_enthalpy_0k_ev_per_atom": -0.09,
  "lattice_angstrom": [[-2.339, 2.339, 5.949], [2.339, -2.339, 5.949], [2.339, 2.339, -5.949]],
  "species": ["Cs", "Cd", "Cd", "Pd", "Pd"],
  "frac_coords": [[0.000, 0.000, 0.000], [0.250, 0.750, 0.500], [0.750, 0.250, 0.500], [0.382, 0.382, 0.000], [0.618, 0.618, 0.000]]
}

No. 6
{
  "formula": "Sr2TlTc",
  "functional": "PBE-GGA",
  "state": "relaxed",
  "e_above_lowest_polymorph_mev_per_atom": 63,
  "space_group": "Imm2 (44)",
  "formation_enthalpy_0k_ev_per_atom": 0.41,
  "lattice_angstrom": [[-1.934, 2.751, 5.584], [1.934, -2.751, 5.584], [1.934, 2.751, -5.584]],
  "species": ["Sr", "Sr", "Tl", "Tc"],
  "frac_coords": [[0.000, 0.000, 0.000], [0.701, 0.201, 0.500], [0.278, 0.778, 0.500], [0.453, 0.453, 0.000]]
}

No. 7
{
  "formula": "Pu4P5Ir",
  "functional": "PBE-GGA",
  "state": "relaxed",
  "space_group": "R-3m (166)",
  "formation_enthalpy_0k_ev_per_atom": -1.03,
  "lattice_angstrom": [[1.969, 1.137, 15.051], [-1.969, 1.137, 15.051], [0.000, -2.274, 15.051]],
  "species": ["Pu", "Pu", "Pu", "Pu", "P", "P", "P", "P", "P", "Ir"],
  "frac_coords": [[0.110, 0.110, 0.110], [0.297, 0.297, 0.297], [0.703, 0.703, 0.703], [0.890, 0.890, 0.890], [0.000, 0.000, 0.000], [0.189, 0.189, 0.189], [0.406, 0.406, 0.406], [0.594, 0.594, 0.594], [0.811, 0.811, 0.811], [0.500, 0.500, 0.500]]
}

No. 8
{
  "formula": "LiMgAl2Pd4",
  "functional": "PBE-GGA",
  "state": "relaxed",
  "space_group": "R-3m (166)",
  "formation_enthalpy_0k_ev_per_atom": -0.81,
  "lattice_angstrom": [[2.172, 1.254, 7.107], [-2.172, 1.254, 7.107], [0.000, -2.508, 7.107]],
  "species": ["Li", "Mg", "Al", "Al", "Pd", "Pd", "Pd", "Pd"],
  "frac_coords": [[0.000, 0.000, 0.000], [0.500, 0.500, 0.500], [0.252, 0.252, 0.252], [0.748, 0.748, 0.748], [0.123, 0.123, 0.123], [0.374, 0.374, 0.374], [0.626, 0.626, 0.626], [0.877, 0.877, 0.877]]
}

No. 9
{
  "formula": "Ho2Al4ZnCu3",
  "functional": "PBE-GGA",
  "state": "relaxed",
  "space_group": "P-4m2 (115)",
  "formation_enthalpy_0k_ev_per_atom": -0.40,
  "lattice_angstrom": [[4.129, 0.000, 0.000], [0.000, 4.129, 0.000], [0.000, 0.000, 10.283]],
  "species": ["Ho", "Ho", "Al", "Al", "Al", "Al", "Zn", "Cu", "Cu", "Cu"],
  "frac_coords": [[0.000, 0.500, 0.249], [0.500, 0.000, 0.751], [0.000, 0.000, 0.000], [0.000, 0.500, 0.638], [0.500, 0.000, 0.362], [0.500, 0.500, 0.000], [0.000, 0.000, 0.500], [0.000, 0.500, 0.868], [0.500, 0.000, 0.132], [0.500, 0.500, 0.500]]
}

No. 10
{
  "formula": "ZnSb3Ru",
  "functional": "PBE-GGA",
  "state": "relaxed",
  "e_above_lowest_polymorph_mev_per_atom": 706,
  "e_form_raw_mev_per_atom": 1181,
  "space_group": "Pm-3m (221)",
  "lattice_angstrom": [[5.075, 0.000, 0.000], [0.000, 5.075, 0.000], [0.000, 0.000, 5.075]],
  "species": ["Zn", "Sb", "Sb", "Sb", "Ru"],
  "frac_coords": [[0.000, 0.000, 0.000], [0.000, 0.000, 0.500], [0.000, 0.500, 0.000], [0.500, 0.000, 0.000], [0.500, 0.500, 0.500]]
}

No. 11
{
  "formula": "Tb6NdEr2Th",
  "functional": "PBE-GGA",
  "state": "relaxed",
  "space_group": "C2/c (15)",
  "formation_enthalpy_0k_ev_per_atom": 0.15,
  "lattice_angstrom": [[4.666, -7.452, 0.000], [4.666, 7.452, 0.000], [-0.935, 0.000, 9.380]],
  "species": ["Tb", "Tb", "Tb", "Tb", "Tb", "Tb", "Tb", "Tb", "Tb", "Tb", "Tb", "Tb", "Nd", "Nd", "Er", "Er", "Er", "Er", "Th", "Th"],
  "frac_coords": [[0.017, 0.572, 0.183], [0.112, 0.764, 0.560], [0.236, 0.888, 0.940], [0.293, 0.520, 0.386], [0.428, 0.983, 0.317], [0.480, 0.707, 0.114], [0.520, 0.293, 0.886], [0.572, 0.017, 0.683], [0.707, 0.480, 0.614], [0.764, 0.112, 0.060], [0.888, 0.236, 0.440], [0.983, 0.428, 0.817], [0.408, 0.592, 0.750], [0.592, 0.408, 0.250], [0.198, 0.297, 0.054], [0.297, 0.198, 0.554], [0.703, 0.802, 0.446], [0.802, 0.703, 0.946], [0.035, 0.965, 0.250], [0.965, 0.035, 0.750]]
}

No. 12
{
  "formula": "ReIrBr2",
  "functional": "PBE-GGA",
  "state": "relaxed",
  "e_above_lowest_polymorph_mev_per_atom": 1391,
  "e_form_raw_mev_per_atom": 1641,
  "space_group": "Cmmm (65)",
  "lattice_angstrom": [[3.049, -3.716, 0.000], [3.049, 3.716, 0.000], [0.000, 0.000, 3.023]],
  "species": ["Re", "Ir", "Br", "Br"],
  "frac_coords": [[0.000, 0.000, 0.000], [0.500, 0.500, 0.000], [0.000, 0.500, 0.500], [0.500, 0.000, 0.500]]
}

| no. | E_tot (eV/atom) |
| --- | --- |
| 1 | -2.032 |
| 2 | -4.207 |
| 3 | -1.760 |
| 4 | -6.683 |
| 5 | -2.704 |
| 6 | -3.611 |
| 7 | -10.358 |
| 8 | -4.779 |
| 9 | -4.168 |
| 10 | -3.402 |
| 11 | -4.761 |
| 12 | -4.522 |